First-principles (PBE) data for Sc3SnN after structural relaxation, as listed in Alexandria via LeMat-Bulk.

* E_form (uncorrected): -0.859 eV per atom
* total energy: -7.124 eV/atom
* calculated volume: 405.3 Å³/cell

Cell: 8.813 6.161 8.525 Å, 90.00 118.89 90.00°
Space group P2_1/c (No. 14)
Symmetry-distinct sites (fractional):
Sc: 0.048 0.040 0.275 (multiplicity 4)
Sc: 0.300 0.250 0.150 (multiplicity 4)
Sc: 0.399 0.705 0.949 (multiplicity 4)
Sn: 0.145 0.750 0.072 (multiplicity 4)
N: 0.322 0.147 0.411 (multiplicity 4)